Record 1
Entry from Alexandria: a relaxed PrPu3N crystal (PBE).

Properties
Formation energy from raw total energies: -0.2585 eV per atom
Space-group type: Pm-3m, No. 221

Structure (POSCAR):
```
PrPu3N
1.0
4.9206 0.0000 0.0000
0.0000 4.9206 0.0000
0.0000 0.0000 4.9206
Pr Pu N
1 3 1
direct
0.0000 0.0000 0.0000
0.0000 0.5000 0.5000
0.5000 0.0000 0.5000
0.5000 0.5000 0.0000
0.5000 0.5000 0.5000
```

***

Record 2
Entry from Alexandria: a relaxed NaInAu crystal (PBE).

Properties
Formation enthalpy at 0 K: -0.268 eV per atom
Space-group type: P-6m2, No. 187

Structure (POSCAR):
```
NaInAu
1.0
4.8882 0.0000 0.0000
-2.4441 4.2333 0.0000
0.0000 0.0000 3.3336
Na In Au
1 1 1
direct
0.0000 0.0000 0.0000
0.6667 0.3333 0.5000
0.3333 0.6667 0.5000
```

***

DOS at the Fermi energy
In order: 17.4 1.1
Unit: states/eV per cell